Computed, not measured: LiV4O5F7 after structural relaxation at the PBE+U level of DFT. Values from VASP.

## Properties
E above lowest polymorph = 50 meV per atom

Geometry as Quantum ESPRESSO input:
```
&SYSTEM
  ibrav = 0, nat = 17, ntyp = 4
/
ATOMIC_SPECIES
Li 6.94 Li.upf
V 50.94 V.upf
O 16.00 O.upf
F 19.00 F.upf
CELL_PARAMETERS angstrom
5.182 0.000 0.000
0.089 5.415 0.000
0.056 0.479 7.465
ATOMIC_POSITIONS angstrom
Li 0.000 0.000 0.000
V 0.218 2.848 5.459
V 0.184 2.186 1.661
V 2.793 4.957 1.700
V 2.822 5.415 5.448
O 0.476 2.632 7.291
O 1.155 4.220 5.136
O 1.085 0.759 2.020
O 4.095 0.906 5.844
O 4.173 4.062 1.270
F 1.555 1.476 4.997
F 1.624 3.462 2.093
F 2.044 5.434 7.311
F 3.249 5.166 3.571
F 3.665 3.682 5.839
F 3.646 1.246 1.305
F 4.743 2.526 3.565
```